Entry 1:
A relaxed structure of CaDyAg, computed with PBE.

```
data_CaDyAg
_symmetry_space_group_name_H-M 'P 1'
_symmetry_Int_Tables_number 1
_symmetry_space_group_name_Hall 'P 1'
_cell_length_a 3.660
_cell_length_b 5.157
_cell_length_c 5.157
_cell_angle_alpha 120.00
_cell_angle_beta 90.00
_cell_angle_gamma 90.00
loop_
_atom_site_label
_atom_site_type_symbol
_atom_site_fract_x
_atom_site_fract_y
_atom_site_fract_z
_atom_site_occupancy
Ca1 Ca 0.610 0.667 0.333 1
Ag1 Ag 0.328 0.333 0.667 1
Dy1 Dy 0.062 0.000 0.000 1
```

Calculated values
crystal system: trigonal
DFT formation energy: 3.25 kJ/mol of atoms
V: 28.1 A^3/atom
E above lowest polymorph: 18.7 kJ/mol of atoms
DFT total energy: -9.4 eV/cell
calculated density: 6.115 g cm⁻³

---

Entry 2:
A relaxed structure of CaDyAg, computed with PBE.

```
data_CaDyAg
_symmetry_space_group_name_H-M 'P 1'
_symmetry_Int_Tables_number 1
_symmetry_space_group_name_Hall 'P 1'
_cell_length_a 3.664
_cell_length_b 3.664
_cell_length_c 6.974
_cell_angle_alpha 105.23
_cell_angle_beta 105.23
_cell_angle_gamma 90.00
loop_
_atom_site_label
_atom_site_type_symbol
_atom_site_fract_x
_atom_site_fract_y
_atom_site_fract_z
_atom_site_occupancy
Ca1 Ca 0.023 0.023 0.046 1
Ag1 Ag 0.676 0.676 0.351 1
Dy1 Dy 0.302 0.302 0.603 1
```

Calculated values
crystal system: tetragonal
DFT formation energy: -15.48 kJ/mol of atoms
V: 29.0 A^3/atom
E above lowest polymorph: 0.0 kJ/mol of atoms
DFT total energy: -9.9 eV/cell
calculated density: 5.931 g cm⁻³

---

Entry 3:
A relaxed structure of CaDy2Ag2, computed with PBE.

```
data_CaDy2Ag2
_symmetry_space_group_name_H-M 'P 1'
_symmetry_Int_Tables_number 1
_symmetry_space_group_name_Hall 'P 1'
_cell_length_a 3.613
_cell_length_b 3.661
_cell_length_c 10.479
_cell_angle_alpha 79.94
_cell_angle_beta 90.00
_cell_angle_gamma 90.00
loop_
_atom_site_label
_atom_site_type_symbol
_atom_site_fract_x
_atom_site_fract_y
_atom_site_fract_z
_atom_site_occupancy
Ca1 Ca 0.000 0.000 0.000 1
Dy1 Dy 0.000 0.177 0.646 1
Dy2 Dy 0.000 0.823 0.354 1
Ag1 Ag 0.500 0.402 0.195 1
Ag2 Ag 0.500 0.598 0.805 1
```

Calculated values
crystal system: orthorhombic
DFT formation energy: -13.81 kJ/mol of atoms
V: 27.3 A^3/atom
DFT total energy: -17.6 eV/cell
calculated density: 7.068 g cm⁻³

---

Entry 4:
A relaxed structure of Ca2DyAg, computed with PBE.

```
data_Ca2DyAg
_symmetry_space_group_name_H-M 'P 1'
_symmetry_Int_Tables_number 1
_symmetry_space_group_name_Hall 'P 1'
_cell_length_a 3.749
_cell_length_b 3.749
_cell_length_c 10.778
_cell_angle_alpha 79.98
_cell_angle_beta 79.98
_cell_angle_gamma 60.00
loop_
_atom_site_label
_atom_site_type_symbol
_atom_site_fract_x
_atom_site_fract_y
_atom_site_fract_z
_atom_site_occupancy
Ca1 Ca 0.071 0.071 0.787 1
Ca2 Ca 0.262 0.262 0.213 1
Dy1 Dy 0.500 0.500 0.499 1
Ag1 Ag 0.666 0.666 0.001 1
```

Calculated values
crystal system: trigonal
DFT formation energy: 1.37 kJ/mol of atoms
V: 32.1 A^3/atom
E above lowest polymorph: 6.6 kJ/mol of atoms
DFT total energy: -11.4 eV/cell
calculated density: 4.528 g cm⁻³

---

Entry 5:
A relaxed structure of CaDyAg2, computed with PBE.

```
data_CaDyAg2
_symmetry_space_group_name_H-M 'P 1'
_symmetry_Int_Tables_number 1
_symmetry_space_group_name_Hall 'P 1'
_cell_length_a 3.673
_cell_length_b 3.673
_cell_length_c 7.382
_cell_angle_alpha 90.00
_cell_angle_beta 90.00
_cell_angle_gamma 90.00
loop_
_atom_site_label
_atom_site_type_symbol
_atom_site_fract_x
_atom_site_fract_y
_atom_site_fract_z
_atom_site_occupancy
Ca1 Ca 0.500 0.500 0.500 1
Ag1 Ag 0.000 0.000 0.771 1
Ag2 Ag 0.000 0.000 0.229 1
Dy1 Dy 0.500 0.500 0.000 1
```

Calculated values
crystal system: tetragonal
DFT formation energy: -31.31 kJ/mol of atoms
V: 24.9 A^3/atom
DFT total energy: -13.6 eV/cell
calculated density: 6.976 g cm⁻³

---

Entry 6:
A relaxed structure of Ca3DyAg4, computed with PBE.

```
data_Ca3DyAg4
_symmetry_space_group_name_H-M 'P 1'
_symmetry_Int_Tables_number 1
_symmetry_space_group_name_Hall 'P 1'
_cell_length_a 3.693
_cell_length_b 3.693
_cell_length_c 14.798
_cell_angle_alpha 90.00
_cell_angle_beta 90.00
_cell_angle_gamma 90.00
loop_
_atom_site_label
_atom_site_type_symbol
_atom_site_fract_x
_atom_site_fract_y
_atom_site_fract_z
_atom_site_occupancy
Ca1 Ca 0.500 0.500 0.247 1
Ca2 Ca 0.500 0.500 0.500 1
Ca3 Ca 0.500 0.500 0.753 1
Ag1 Ag 0.000 0.000 0.886 1
Ag2 Ag 0.000 0.000 0.114 1
Ag3 Ag 0.000 0.000 0.375 1
Ag4 Ag 0.000 0.000 0.625 1
Dy1 Dy 0.500 0.500 0.000 1
```

Calculated values
crystal system: tetragonal
DFT formation energy: -30.71 kJ/mol of atoms
V: 25.2 A^3/atom
DFT total energy: -24.6 eV/cell
calculated density: 5.875 g cm⁻³

---

Entry 7:
A relaxed structure of CaDyAgF6, computed with PBE.

```
data_CaDyAgF6
_symmetry_space_group_name_H-M 'P 1'
_symmetry_Int_Tables_number 1
_symmetry_space_group_name_Hall 'P 1'
_cell_length_a 5.353
_cell_length_b 5.353
_cell_length_c 10.883
_cell_angle_alpha 90.00
_cell_angle_beta 90.00
_cell_angle_gamma 90.00
loop_
_atom_site_label
_atom_site_type_symbol
_atom_site_fract_x
_atom_site_fract_y
_atom_site_fract_z
_atom_site_occupancy
Ca1 Ca 0.500 0.500 0.168 1
Ca2 Ca 0.000 0.000 0.668 1
Dy1 Dy 0.500 0.500 0.833 1
Dy2 Dy 0.000 0.000 0.333 1
Ag1 Ag 0.500 0.500 0.499 1
Ag2 Ag 0.000 0.000 0.999 1
F1 F 0.179 0.821 0.494 1
F2 F 0.821 0.179 0.494 1
F3 F 0.321 0.321 0.994 1
F4 F 0.679 0.679 0.994 1
F5 F 0.202 0.798 0.189 1
F6 F 0.798 0.202 0.189 1
F7 F 0.298 0.298 0.689 1
F8 F 0.702 0.702 0.689 1
F9 F 0.789 0.211 0.817 1
F10 F 0.211 0.789 0.817 1
F11 F 0.711 0.711 0.317 1
F12 F 0.289 0.289 0.317 1
```

Calculated values
crystal system: tetragonal
formation energy (no corrections): -30.048 eV/f.u.
V: 17.3 A^3/atom
DFT total energy: -101.5 eV/cell
calculated density: 4.520 g cm⁻³

---

Entry 8:
A relaxed structure of CaDy2AgHg4, computed with PBE.

```
data_CaDy2AgHg4
_symmetry_space_group_name_H-M 'P 1'
_symmetry_Int_Tables_number 1
_symmetry_space_group_name_Hall 'P 1'
_cell_length_a 5.140
_cell_length_b 5.140
_cell_length_c 8.991
_cell_angle_alpha 73.39
_cell_angle_beta 73.39
_cell_angle_gamma 60.00
loop_
_atom_site_label
_atom_site_type_symbol
_atom_site_fract_x
_atom_site_fract_y
_atom_site_fract_z
_atom_site_occupancy
Ca1 Ca 0.000 0.000 0.000 1
Dy1 Dy 0.756 0.756 0.733 1
Dy2 Dy 0.244 0.244 0.267 1
Ag1 Ag 0.500 0.500 0.500 1
Hg1 Hg 0.375 0.375 0.876 1
Hg2 Hg 0.876 0.876 0.373 1
Hg3 Hg 0.124 0.124 0.627 1
Hg4 Hg 0.625 0.625 0.124 1
```

Calculated values
crystal system: trigonal
DFT formation energy: -38.68 kJ/mol of atoms
V: 24.3 A^3/atom
DFT total energy: -18.5 eV/cell
calculated density: 10.907 g cm⁻³

---

Entry 9:
A relaxed structure of CaDy2In2Ag2, computed with PBE.

```
data_CaDy2In2Ag2
_symmetry_space_group_name_H-M 'P 1'
_symmetry_Int_Tables_number 1
_symmetry_space_group_name_Hall 'P 1'
_cell_length_a 4.885
_cell_length_b 4.885
_cell_length_c 9.497
_cell_angle_alpha 75.10
_cell_angle_beta 75.10
_cell_angle_gamma 60.00
loop_
_atom_site_label
_atom_site_type_symbol
_atom_site_fract_x
_atom_site_fract_y
_atom_site_fract_z
_atom_site_occupancy
Ca1 Ca 0.000 0.000 0.000 1
Dy1 Dy 0.127 0.127 0.618 1
Dy2 Dy 0.873 0.873 0.382 1
In1 In 0.744 0.744 0.767 1
In2 In 0.256 0.256 0.233 1
Ag1 Ag 0.592 0.592 0.223 1
Ag2 Ag 0.408 0.408 0.777 1
```

Calculated values
crystal system: trigonal
DFT formation energy: -26.18 kJ/mol of atoms
V: 26.8 A^3/atom
DFT total energy: -24.3 eV/cell
calculated density: 7.181 g cm⁻³

---

Entry 10:
A relaxed structure of CaLaDyAg, computed with PBE.

```
data_CaLaDyAg
_symmetry_space_group_name_H-M 'P 1'
_symmetry_Int_Tables_number 1
_symmetry_space_group_name_Hall 'P 1'
_cell_length_a 3.673
_cell_length_b 3.673
_cell_length_c 9.184
_cell_angle_alpha 90.00
_cell_angle_beta 90.00
_cell_angle_gamma 90.00
loop_
_atom_site_label
_atom_site_type_symbol
_atom_site_fract_x
_atom_site_fract_y
_atom_site_fract_z
_atom_site_occupancy
Ca1 Ca 0.500 0.500 0.766 1
La1 La 0.000 0.000 0.094 1
Dy1 Dy 0.500 0.500 0.370 1
Ag1 Ag 0.000 0.000 0.555 1
```

Calculated values
crystal system: tetragonal
DFT formation energy: -12.56 kJ/mol of atoms
V: 31.0 A^3/atom
DFT total energy: -14.9 eV/cell
calculated density: 6.023 g cm⁻³

---

Entry 11:
A relaxed structure of LiCaDyAg, computed with PBE.

```
data_LiCaDyAg
_symmetry_space_group_name_H-M 'P 1'
_symmetry_Int_Tables_number 1
_symmetry_space_group_name_Hall 'P 1'
_cell_length_a 5.221
_cell_length_b 5.221
_cell_length_c 5.221
_cell_angle_alpha 60.00
_cell_angle_beta 60.00
_cell_angle_gamma 60.00
loop_
_atom_site_label
_atom_site_type_symbol
_atom_site_fract_x
_atom_site_fract_y
_atom_site_fract_z
_atom_site_occupancy
Ca1 Ca 0.500 0.500 0.500 1
Li1 Li 0.750 0.750 0.750 1
Ag1 Ag 0.250 0.250 0.250 1
Dy1 Dy 0.000 0.000 0.000 1
```

Calculated values
crystal system: cubic
DFT formation energy: -9.42 kJ/mol of atoms
V: 25.2 A^3/atom
DFT total energy: -11.8 eV/cell
calculated density: 5.236 g cm⁻³

---

Entry 12:
A relaxed structure of CaNdDyAg, computed with PBE.

```
data_CaNdDyAg
_symmetry_space_group_name_H-M 'P 1'
_symmetry_Int_Tables_number 1
_symmetry_space_group_name_Hall 'P 1'
_cell_length_a 3.617
_cell_length_b 3.617
_cell_length_c 9.337
_cell_angle_alpha 90.00
_cell_angle_beta 90.00
_cell_angle_gamma 90.00
loop_
_atom_site_label
_atom_site_type_symbol
_atom_site_fract_x
_atom_site_fract_y
_atom_site_fract_z
_atom_site_occupancy
Ca1 Ca 0.500 0.500 0.769 1
Nd1 Nd 0.000 0.000 0.094 1
Dy1 Dy 0.500 0.500 0.366 1
Ag1 Ag 0.000 0.000 0.555 1
```

Calculated values
crystal system: tetragonal
DFT formation energy: -12.46 kJ/mol of atoms
V: 30.5 A^3/atom
DFT total energy: -14.7 eV/cell
calculated density: 6.183 g cm⁻³